Zr2Zn: optimized geometry, PBE-GGA.

a = 4.559 Å, b = 4.559 Å, c = 3.243 Å
α = 90.00°, β = 90.00°, γ = 90.00°
Positions (direct):
Zr 0.000 0.500 0.000
Zr 0.500 0.000 0.000
Zn 0.000 0.000 0.500

Calculated values
* energy relative to the elements: 0.22 eV per atom
* symmetry: P4/mmm (123)
* M_tot: 0.00 μB/cell



ScSbRh2: optimized geometry, PBE-GGA.

a = 4.783 Å, b = 4.783 Å, c = 4.783 Å
α = 127.33°, β = 127.33°, γ = 77.71°
Positions (direct):
Sc 0.000 0.000 0.000
Sb 0.500 0.500 0.000
Rh 0.250 0.750 0.500
Rh 0.750 0.250 0.500

Calculated values
* ΔE_f (raw): -821 meV per atom
* symmetry: I4/mmm (139)
* M_tot: 0.00 μB/cell



ZrGaF2: optimized geometry, PBE-GGA.

a = 9.191 Å, b = 9.191 Å, c = 9.191 Å
α = 18.58°, β = 18.58°, γ = 18.58°
Positions (direct):
Zr 0.000 0.000 0.000
Ga 0.500 0.500 0.500
F 0.390 0.390 0.390
F 0.610 0.610 0.610

Calculated values
* ΔE_f (raw): -1926 meV per atom
* energy above the lowest structure with this stoichiometry: 0.000 eV/atom
* symmetry: R-3m (166)
* M_tot: 0.00 μB/cell



Ti12Sn3Sb: optimized geometry, PBE-GGA.

a = 5.227 Å, b = 5.228 Å, c = 10.467 Å
α = 90.00°, β = 90.00°, γ = 90.00°
Positions (direct):
Ti 0.000 0.000 0.124
Ti 0.000 0.000 0.373
Ti 0.000 0.000 0.627
Ti 0.000 0.000 0.876
Ti 0.249 0.500 0.500
Ti 0.250 0.500 0.000
Ti 0.500 0.250 0.251
Ti 0.500 0.250 0.749
Ti 0.500 0.750 0.251
Ti 0.500 0.750 0.749
Ti 0.750 0.500 0.000
Ti 0.751 0.500 0.500
Sn 0.000 0.500 0.250
Sn 0.000 0.500 0.750
Sn 0.500 0.000 0.000
Sb 0.500 0.000 0.500

Calculated values
* ΔE_f (raw): -313 meV per atom
* symmetry: Pmmm (47)
* M_tot: 0.04 μB/cell



no.,DFT total energy (eV per atom)
1,-5.904
2,-7.111
3,-5.755
4,-7.242